Model one:
DFT (PBE) results for a relaxed structure of SrZrP2.

Cell lengths 7.2689, 7.2689, 7.2689 Å; angles 31.37, 31.37, 31.37 degrees
Element x y z (fractional)
Sr1 0.0000 0.0000 0.0000
Zr1 0.5000 0.5000 0.5000
P1 0.2371 0.2371 0.2371
P2 0.7629 0.7629 0.7629

Properties
- N(E_F) (states/eV/f.u.) = 0.611
- SG = No. 166


Model two:
DFT (PBE) results for a relaxed structure of SrZrP2.

Cell lengths 6.6980, 6.6980, 6.6980 Å; angles 115.29, 115.29, 98.37 degrees
Element x y z (fractional)
Sr1 0.0000 0.0000 0.0000
Sr2 0.7500 0.2500 0.5000
Zr1 0.2500 0.7500 0.5000
Zr2 0.5000 0.5000 0.0000
P1 0.1787 0.6250 0.0537
P2 0.3750 0.4287 0.5537
P3 0.5713 0.1250 0.9463
P4 0.8750 0.8213 0.4463

Properties
- N(E_F) (states/eV/f.u.) = 0.000
- SG = No. 122


Which structure wins on stability? model one wins.